No. 1
AcTm3Pb3 | Alexandria | PBE | optimized geometry; calculated formation energy = -0.260 eV per atom; distance to the lowest polymorph of the same formula = 0 meV/atom; space-group type = R-3 (148)
1.0
4.7470 2.7407 6.3292
-4.7470 2.7407 6.3292
0.0000 -5.4814 6.3292
Ac Tm Pb
2 6 6
direct
0.1668 0.1668 0.1668
0.8332 0.8332 0.8332
0.1132 0.4025 0.7001
0.2999 0.8868 0.5975
0.4025 0.7001 0.1132
0.5975 0.2999 0.8868
0.7001 0.1132 0.4025
0.8868 0.5975 0.2999
0.0690 0.7725 0.4231
0.2275 0.5769 0.9310
0.4231 0.0690 0.7725
0.5769 0.9310 0.2275
0.7725 0.4231 0.0690
0.9310 0.2275 0.5769

---

No. 2
NaTaCl3 | Alexandria | PBE | optimized geometry; distance to the lowest polymorph of the same formula = 888 meV/atom; space-group type = Pm-3m (221)
1.0
4.8898 0.0000 0.0000
0.0000 4.8898 0.0000
0.0000 0.0000 4.8898
Na Ta Cl
1 1 3
direct
0.0000 0.0000 0.0000
0.5000 0.5000 0.5000
0.0000 0.0000 0.5000
0.0000 0.5000 0.0000
0.5000 0.0000 0.0000

---

No. 3
AlCuPCl2 | Alexandria | PBE | optimized geometry; distance to the lowest polymorph of the same formula = 156 meV/atom; space-group type = P4/mmm (123)
1.0
4.4974 0.0000 0.0000
0.0000 4.4974 0.0000
0.0000 0.0000 5.1053
Al Cu P Cl
1 1 1 2
direct
0.0000 0.0000 0.0000
0.5000 0.5000 0.5000
0.5000 0.5000 0.0000
0.0000 0.5000 0.5000
0.5000 0.0000 0.5000